[1]
Entry from the Alexandria database: LaMg3Cd2 after structural relaxation (PBE).

The structure in extended XYZ format:
```
12
Lattice="4.9975 0.0000 0.0000 -2.4988 4.3280 0.0000 0.0000 0.0000 13.9736" Properties=species:S:1:pos:R:3 pbc="T T T"
La 0.0000 0.0000 3.4934
La 0.0000 0.0000 10.4802
Mg 0.0000 0.0000 0.0000
Mg 0.0000 0.0000 6.9868
Mg 0.0000 2.8853 1.3768
Mg 0.0000 2.8853 5.6100
Mg 2.4988 1.4427 8.3636
Mg 2.4988 1.4427 12.5968
Cd 0.0000 2.8853 8.7639
Cd 0.0000 2.8853 12.1965
Cd 2.4988 1.4427 1.7771
Cd 2.4988 1.4427 5.2097
```

***

[2]
Entry from the Alexandria database: LaMgCd3 after structural relaxation (PBE).

The structure in extended XYZ format:
```
5
Lattice="5.2020 0.0000 0.0000 0.0000 5.2020 0.0000 0.0000 0.0000 5.2020" Properties=species:S:1:pos:R:3 pbc="T T T"
La 0.0000 0.0000 0.0000
Mg 2.6010 2.6010 2.6010
Cd 0.0000 2.6010 2.6010
Cd 2.6010 0.0000 2.6010
Cd 2.6010 2.6010 0.0000
```

***

[3]
Entry from the Alexandria database: La4MgCd after structural relaxation (PBE).

The structure in extended XYZ format:
```
6
Lattice="3.8069 -3.8069 0.0000 3.8069 3.8069 0.0000 -0.0117 0.0000 7.8158" Properties=species:S:1:pos:R:3 pbc="T T T"
La 1.9002 1.9011 1.9118
La 5.7019 -1.9011 5.9040
La 1.9002 -1.9011 1.9118
La 5.7019 1.9011 5.9040
Mg -0.0058 0.0000 3.9079
Cd 3.8069 0.0000 0.0000
```

***

For the records above, the corresponding distance to the lowest polymorph of the same formula values read 0; 268; 315 meV per atom.
For the records above, the corresponding total moment values read 0.0; 0.0; 0.0 μB/cell.
For the records above, the corresponding raw total energy values read -12.818; -8.906; -21.130 eV per formula unit.